1.
VASP calculation (GGA-PBE) on crystalline Ba2ZrOs at its relaxed geometry.

Values from the calculation:
The excess energy over the best structure of this formula in the dataset is 438.6 meV/atom. Its calculated total energy is -5.26 eV per atom. The total magnetic moment comes out at 0.00 μB per cell.

Unit cell a=12.0209 b=12.0209 c=4.9833 alpha=90.00 beta=90.00 gamma=90.00
Space group I-42d (No. 122)
Unique sites:
Ba: 0.0863 0.2500 0.1250 x8
Zr: 0.0000 0.0000 0.5000 x4
Os: 0.0000 0.0000 0.0000 x4

=====

2.
VASP calculation (GGA-PBE) on crystalline NiRh4W3 at its relaxed geometry.

Values from the calculation:
Its calculated total energy is -9.42 eV per atom. The total magnetic moment comes out at 0.00 μB per cell.

Unit cell a=3.8936 b=3.8936 c=15.2339 alpha=90.00 beta=90.00 gamma=90.00
Space group I4/mmm (No. 139)
Unique sites:
Ni: 0.0000 0.0000 0.0000 x2
Rh: 0.0000 0.5000 0.1212 x8
W: 0.0000 0.0000 0.2467 x4
W: 0.0000 0.0000 0.5000 x2

=====

3.
VASP calculation (GGA-PBE) on crystalline Sc2ZnCr at its relaxed geometry.

Values from the calculation:
Its calculated total energy is -5.79 eV per atom. The total magnetic moment comes out at 15.69 μB per cell.

Unit cell a=6.6565 b=6.6565 c=6.6565 alpha=90.00 beta=90.00 gamma=90.00
Space group F-43m (No. 216)
Unique sites:
Sc: 0.0000 0.0000 0.0000 x4
Sc: 0.2500 0.2500 0.2500 x4
Zn: 0.2500 0.2500 0.7500 x4
Cr: 0.0000 0.0000 0.5000 x4

=====

4.
VASP calculation (GGA-PBE) on crystalline ScPa3Tl2O12 at its relaxed geometry.

Values from the calculation:
Its calculated total energy is -7.96 eV per atom. For the formation energy without anion corrections, the calculation gives -2.4617 eV per atom. The total magnetic moment comes out at 9.88 μB per cell.

Unit cell a=8.2059 b=8.2059 c=18.8697 alpha=90.00 beta=90.00 gamma=120.00
Space group R-3m (No. 166, hexagonal axes)
Unique sites:
Sc: 0.0000 0.0000 0.0000 x3
Pa: 0.0000 0.5000 0.5000 x9
Tl: 0.0000 0.0000 0.3260 x6
O: 0.0883 0.5442 0.6036 x18
O: 0.0969 0.5485 0.8624 x18

=====

5.
VASP calculation (GGA-PBE) on crystalline BePSeN2 at its relaxed geometry.

Values from the calculation:
The excess energy over the best structure of this formula in the dataset is 581.3 meV/atom. Its calculated total energy is -4.62 eV per atom. For the formation energy without anion corrections, the calculation gives 1.2327 eV per atom. The total magnetic moment comes out at 0.75 μB per cell.

Unit cell a=3.3639 b=3.3639 c=7.2805 alpha=90.00 beta=90.00 gamma=90.00
Space group P4/mmm (No. 123)
Unique sites:
Be: 0.0000 0.0000 0.0000 x1
P: 0.5000 0.5000 0.5000 x1
Se: 0.0000 0.0000 0.5000 x1
N: 0.0000 0.5000 0.0000 x2

=====

6.
VASP calculation (GGA-PBE) on crystalline SnHAu2 at its relaxed geometry.

Values from the calculation:
The excess energy over the best structure of this formula in the dataset is 173.8 meV/atom. Its calculated total energy is -3.17 eV per atom. The total magnetic moment comes out at 0.00 μB per cell.

Unit cell a=3.0405 b=3.0405 c=25.2377 alpha=90.00 beta=90.00 gamma=120.00
Space group R-3m (No. 166, hexagonal axes)
Unique sites:
Sn: 0.0000 0.0000 0.0000 x3
H: 0.0000 0.0000 0.5000 x3
Au: 0.0000 0.0000 0.1132 x6